[1]
First-principles (PBE) data for a relaxed Sr2TbAgS4 crystal, as listed in Alexandria via LeMat-Bulk.

Cell lengths 7.096, 4.135, 7.168 Å; angles 90.00, 110.06, 90.00 degrees
Space group P2/m (No. 10)
Unique sites:
1 Sr 0.000 0.000 0.000 (multiplicity 1)
2 Sr 0.000 0.500 0.500 (multiplicity 1)
3 Tb 0.500 0.000 0.500 (multiplicity 1)
4 Ag 0.500 0.500 0.000 (multiplicity 1)
5 S 0.266 0.500 0.268 (multiplicity 2)
6 S 0.271 0.000 0.747 (multiplicity 2)

Values from the calculation:
The calculation puts the formation energy (no corrections) at -1670 meV per atom.

***

[2]
First-principles (PBE) data for a relaxed Tb5NdSm2Tm crystal, as listed in Alexandria via LeMat-Bulk.

Cell lengths 8.794, 8.794, 15.334 Å; angles 90.00, 90.00, 90.00 degrees
Space group I4/mcm (No. 140)
Unique sites:
1 Tb 0.000 0.000 0.000 (multiplicity 4)
2 Tb 0.209 0.291 0.137 (multiplicity 16)
3 Nd 0.000 0.000 0.250 (multiplicity 4)
4 Sm 0.116 0.384 0.500 (multiplicity 8)
5 Tm 0.000 0.500 0.250 (multiplicity 4)

Values from the calculation:
Its formation energy from the elements is 279 meV per atom. Its density of states at the Fermi level is 45.1 states/eV per cell.

***

[3]
First-principles (PBE) data for a relaxed Er5Te2Pd2 crystal, as listed in Alexandria via LeMat-Bulk.

Cell lengths 15.570, 7.742, 7.723 Å; angles 90.00, 90.00, 90.00 degrees
Space group Cmce (No. 64)
Unique sites:
1 Er 0.000 0.000 0.000 (multiplicity 4)
2 Er 0.122 0.160 0.341 (multiplicity 16)
3 Te 0.208 0.000 0.000 (multiplicity 8)
4 Pd 0.000 0.138 0.635 (multiplicity 8)

Values from the calculation:
The calculation puts the formation energy (no corrections) at -990 meV per atom. Its density of states at the Fermi level is 33.2 states/eV per cell.

***

[4]
First-principles (PBE) data for a relaxed ScAu2Se crystal, as listed in Alexandria via LeMat-Bulk.

Cell lengths 3.836, 3.836, 5.436 Å; angles 90.00, 90.00, 90.00 degrees
Space group P4/mmm (No. 123)
Unique sites:
1 Sc 0.000 0.000 0.000 (multiplicity 1)
2 Au 0.500 0.500 0.245 (multiplicity 2)
3 Se 0.000 0.000 0.500 (multiplicity 1)

Values from the calculation:
The calculation puts the formation energy (no corrections) at -545 meV per atom. Its density of states at the Fermi level is 2.7 states/eV per cell.

***

[5]
First-principles (PBE) data for a relaxed Ta2ZnBr crystal, as listed in Alexandria via LeMat-Bulk.

Cell lengths 3.1098, 3.1098, 28.8450 Å; angles 90.00, 90.00, 120.00 degrees
Space group R3m (No. 160, hexagonal axes)
Unique sites:
1 Ta 0.0000 0.0000 0.0000 (multiplicity 3)
2 Ta 0.0000 0.0000 0.2485 (multiplicity 3)
3 Zn 0.0000 0.0000 0.5089 (multiplicity 3)
4 Br 0.0000 0.0000 0.7338 (multiplicity 3)

Values from the calculation:
The calculation puts the offset from the most stable computed form at 0.004 eV/atom. The calculation puts the formation energy (no corrections) at 169 meV per atom. Its density of states at the Fermi level is 13.8 states/eV per cell.

***

[6]
First-principles (PBE) data for a relaxed PaTiTe2 crystal, as listed in Alexandria via LeMat-Bulk.

Cell lengths 5.046, 5.046, 3.661 Å; angles 90.00, 90.00, 90.00 degrees
Space group P4/mmm (No. 123)
Unique sites:
1 Pa 0.000 0.000 0.000 (multiplicity 1)
2 Ti 0.500 0.500 0.000 (multiplicity 1)
3 Te 0.000 0.500 0.500 (multiplicity 2)

Values from the calculation:
The calculation puts the offset from the most stable computed form at 0.021 eV/atom. The calculation puts the formation energy (no corrections) at -547 meV per atom. Its density of states at the Fermi level is 4.1 states/eV per cell.

***

| no. | calculated volume (Å³/atom) | total energy (eV/atom) |
| --- | --- | --- |
| 1 | 24.697 | -5.090 |
| 2 | 32.943 | -4.369 |
| 3 | 25.859 | -5.377 |
| 4 | 19.995 | -4.638 |
| 5 | 20.131 | -6.494 |
| 6 | 23.305 | -6.465 |